(1)
# Ni2WS PBE relaxed
data_Ni2WS
_cell_length_a 3.112
_cell_length_b 2.997
_cell_length_c 11.028
_cell_angle_alpha 90.00
_cell_angle_beta 90.00
_cell_angle_gamma 90.00
_symmetry_space_group_name_H-M 'A m m 2'
_symmetry_Int_Tables_number 38
_symmetry_space_group_name_Hall 'A 2 -2'
loop_
_atom_site_label
_atom_site_type_symbol
_atom_site_fract_x
_atom_site_fract_y
_atom_site_fract_z
Ni1 Ni 0.000 0.000 0.000
Ni2 Ni 0.500 0.000 0.387
W1 W 0.500 0.000 0.642
S1 S 0.000 0.000 0.249
# * energy relative to the elements, uncorrected: 0.12 eV per formula unit


(2)
# InIr2S PBE relaxed
data_InIr2S
_cell_length_a 6.373
_cell_length_b 6.373
_cell_length_c 6.373
_cell_angle_alpha 90.00
_cell_angle_beta 90.00
_cell_angle_gamma 90.00
_symmetry_space_group_name_H-M 'F m -3 m'
_symmetry_Int_Tables_number 225
_symmetry_space_group_name_Hall '-F 4 2 3'
loop_
_atom_site_label
_atom_site_type_symbol
_atom_site_fract_x
_atom_site_fract_y
_atom_site_fract_z
In1 In 0.000 0.000 0.000
Ir1 Ir 0.250 0.250 0.250
S1 S 0.000 0.000 0.500
# * energy relative to the elements, uncorrected: 2.27 eV per formula unit


(3)
# Rb2OsO4F2 PBE relaxed
data_Rb2OsO4F2
_cell_length_a 6.435
_cell_length_b 6.435
_cell_length_c 8.467
_cell_angle_alpha 90.00
_cell_angle_beta 90.00
_cell_angle_gamma 90.00
_symmetry_space_group_name_H-M 'I 4/m m m'
_symmetry_Int_Tables_number 139
_symmetry_space_group_name_Hall '-I 4 2'
loop_
_atom_site_label
_atom_site_type_symbol
_atom_site_fract_x
_atom_site_fract_y
_atom_site_fract_z
Rb1 Rb 0.000 0.500 0.250
Os1 Os 0.000 0.000 0.000
O1 O 0.199 0.199 0.000
F1 F 0.000 0.000 0.233
# * energy relative to the elements, uncorrected: -14.13 eV per formula unit


> Which of these has the highest energy relative to the elements, uncorrected?

InIr2S


> Which formula does entry 1 have?

Ni2WS